First-principles (GGA-PBE) data for an optimized crystal structure of NaBiPd4, as listed in the Alexandria database.

a = 4.172 Å, b = 7.049 Å, c = 7.901 Å
α = 90.00°, β = 90.00°, γ = 90.00°
Element x y z (fractional)
Pd1 0.500 0.702 0.024
Pd2 0.000 0.000 0.000
Pd3 0.500 0.298 0.524
Pd4 0.500 0.971 0.750
Pd5 0.500 0.702 0.476
Pd6 0.500 0.029 0.250
Pd7 0.000 0.000 0.500
Pd8 0.500 0.298 0.976
Na1 0.000 0.315 0.250
Na2 0.000 0.685 0.750
Bi1 0.000 0.737 0.250
Bi2 0.000 0.263 0.750

Properties
The calculation puts the energy at -0.32618 Ry/atom. The value obtained for the mass density is 9.40 Mg/m³. As for the energy above the most stable polymorph in this dataset: 0.0748 eV/atom. Its energy of formation is -0.109 eV per atom.